No. 1
TaVCoRh2 | GGA-PBE | relaxed

a b c (Å): 4.680 4.680 4.621
angles (deg): 90.00 90.00 90.00
Space group P4/mmm (No. 123)
Asymmetric unit:
Ta1 0.000 0.000 0.000
V1 0.000 0.000 0.500
Co1 0.500 0.500 0.500
Rh1 0.000 0.500 0.000

E above lowest polymorph, meV per atom: 433

=====

No. 2
TaZnCoRh | GGA-PBE | relaxed

a b c (Å): 6.085 6.085 6.085
angles (deg): 90.00 90.00 90.00
Space group F-43m (No. 216)
Asymmetric unit:
Ta1 0.000 0.000 0.000
Zn1 0.000 0.000 0.500
Co1 0.250 0.250 0.250
Rh1 0.250 0.250 0.750

E above lowest polymorph, meV per atom: 28

=====

No. 3
TaZnCoRh | GGA-PBE | relaxed

a b c (Å): 4.063 4.063 6.773
angles (deg): 90.00 90.00 90.00
Space group I-4m2 (No. 119)
Asymmetric unit:
Ta1 0.000 0.000 0.000
Zn1 0.000 0.000 0.500
Co1 0.000 0.500 0.250
Rh1 0.000 0.500 0.750

E above lowest polymorph, meV per atom: 0

=====

No. 4
ZrTaCoRh | GGA-PBE | relaxed

a b c (Å): 6.390 6.390 6.390
angles (deg): 90.00 90.00 90.00
Space group F-43m (No. 216)
Asymmetric unit:
Zr1 0.000 0.000 0.000
Ta1 0.000 0.000 0.500
Co1 0.250 0.250 0.250
Rh1 0.250 0.250 0.750

Energy, eV/atom: -9.018

=====

No. 5
Tb4CoRh3 | GGA-PBE | relaxed

a b c (Å): 3.411 3.411 13.813
angles (deg): 90.00 90.00 90.00
Space group P4/mmm (No. 123)
Asymmetric unit:
Tb1 0.000 0.000 0.121
Tb2 0.000 0.000 0.374
Co1 0.500 0.500 0.000
Rh1 0.500 0.500 0.249
Rh2 0.500 0.500 0.500

Energy, eV/atom: -6.616

=====

No. 6
Tb2CoRh | GGA-PBE | relaxed

a b c (Å): 3.391 3.391 6.863
angles (deg): 90.00 90.00 90.00
Space group P4/mmm (No. 123)
Asymmetric unit:
Tb1 0.000 0.000 0.244
Co1 0.500 0.500 0.000
Rh1 0.500 0.500 0.500

Energy, eV/atom: -6.409

=====

No. 7
Tb6CoRh5 | GGA-PBE | relaxed

a b c (Å): 4.845 6.871 7.660
angles (deg): 90.00 108.33 90.00
Space group P2/m (No. 10)
Asymmetric unit:
Tb1 0.000 0.248 0.000
Tb2 0.334 0.249 0.669
Co1 0.500 0.000 0.000
Rh1 0.166 0.000 0.333
Rh2 0.168 0.500 0.335
Rh3 0.500 0.500 0.000

Energy, eV/atom: -6.690

=====

No. 8
Tb7Co2Rh2 | GGA-PBE | relaxed

a b c (Å): 7.625 10.553 6.672
angles (deg): 90.00 90.00 90.00
Space group Cmmm (No. 65)
Asymmetric unit:
Tb1 0.000 0.000 0.000
Tb2 0.000 0.500 0.253
Tb3 0.250 0.250 0.263
Co1 0.000 0.288 0.000
Rh1 0.187 0.000 0.500

Energy, eV/atom: -5.811

=====

- Which formula does entry 5 have?
  Tb4CoRh3